--- one ---
# NaTa

An optimized crystal structure of NaTa (PBE, Alexandria via LeMat-Bulk).

## Properties
Fermi-level density of states = 2.782 states/eV/atom
space-group type = F-43m (216)
M_tot = 4.0 μB per formula unit

abc: 7.1338 7.1338 7.1338
angles: 90.00 90.00 90.00
Site moments in Bohr magnetons follow the coordinates.
Positions (direct):
Ta 0.5000 0.5000 0.0000  2.33
Na 0.7500 0.7500 0.2500  0.06
Ta 0.0000 0.5000 0.5000  2.33
Ta 0.5000 0.0000 0.5000  2.33
Na 0.7500 0.2500 0.7500  0.06
Na 0.2500 0.2500 0.2500  0.06
Na 0.2500 0.7500 0.7500  0.06
Ta 0.0000 0.0000 0.0000  2.33

---

--- two ---
# NaTa

An optimized crystal structure of NaTa (PBE, Alexandria via LeMat-Bulk).

## Properties
Fermi-level density of states = 0.860 states/eV/atom
space-group type = Fddd (70)
M_tot = 0.0 μB per formula unit

abc: 5.5055 15.6363 8.4911
angles: 90.00 90.00 90.00
Positions (direct):
Ta 0.5000 0.0838 0.5000
Ta 0.0000 0.5838 0.5000
Na 0.2500 0.7500 0.9064
Na 0.0000 0.0000 0.3436
Na 0.5000 0.5000 0.6564
Na 0.5000 0.5000 0.3436
Ta 0.2500 0.1662 0.7500
Ta 0.2500 0.3338 0.7500
Ta 0.7500 0.8338 0.7500
Na 0.7500 0.7500 0.0936
Ta 0.2500 0.8338 0.2500
Ta 0.2500 0.6662 0.2500
Na 0.0000 0.5000 0.1564
Na 0.2500 0.7500 0.5936
Na 0.0000 0.0000 0.6564
Na 0.7500 0.2500 0.9064
Ta 0.7500 0.3338 0.2500
Na 0.5000 0.0000 0.1564
Na 0.5000 0.0000 0.8436
Ta 0.0000 0.9162 0.0000
Ta 0.7500 0.6662 0.7500
Ta 0.5000 0.9162 0.5000
Ta 0.0000 0.0838 0.0000
Na 0.7500 0.2500 0.5936
Na 0.0000 0.5000 0.8436
Na 0.2500 0.2500 0.4064
Na 0.7500 0.7500 0.4064
Na 0.2500 0.2500 0.0936
Ta 0.5000 0.4162 0.0000
Ta 0.5000 0.5838 0.0000
Ta 0.0000 0.4162 0.5000
Ta 0.7500 0.1662 0.2500

---

The most stable of them is two.

---

--- one ---
# NaTa

An optimized crystal structure of NaTa (PBE, Alexandria via LeMat-Bulk).

## Properties
Fermi-level density of states = 2.536 states/eV/atom
space-group type = I-43m (217)
M_tot = 0.2 μB per formula unit

abc: 9.7362 9.7362 9.7362
angles: 90.00 90.00 90.00
Site moments in Bohr magnetons follow the coordinates.
Positions (direct):
Ta 0.5929 0.5929 0.4071  0.10
Na 0.7058 0.7058 0.7058  0.01
Ta 0.0929 0.0929 0.9071  0.10
Na 0.2058 0.2058 0.2058  0.01
Na 0.2058 0.7942 0.7942  0.01
Na 0.7942 0.7942 0.2058  0.01
Ta 0.5929 0.4071 0.5929  0.10
Na 0.7058 0.2942 0.2942  0.01
Ta 0.0929 0.9071 0.0929  0.10
Na 0.2942 0.7058 0.2942  0.01
Ta 0.4071 0.5929 0.5929  0.10
Na 0.2942 0.2942 0.7058  0.01
Na 0.7942 0.2058 0.7942  0.01
Ta 0.9071 0.9071 0.9071  0.10
Ta 0.9071 0.0929 0.0929  0.10
Ta 0.4071 0.4071 0.4071  0.10

---

--- two ---
# NaTa

An optimized crystal structure of NaTa (PBE, Alexandria via LeMat-Bulk).

## Properties
Fermi-level density of states = 3.211 states/eV/atom
space-group type = Pm-3n (223)
M_tot = 4.0 μB per formula unit

abc: 8.8473 8.8473 8.8473
angles: 90.00 90.00 90.00
Site moments in Bohr magnetons follow the coordinates.
Positions (direct):
Ta 0.5000 0.2500 0.0000  2.34
Na 0.0000 0.7500 0.5000  0.05
Na 0.0000 0.2500 0.5000  0.05
Ta 0.2500 0.0000 0.5000  2.34
Na 0.7500 0.5000 0.0000  0.05
Na 0.2500 0.5000 0.0000  0.05
Ta 0.7500 0.0000 0.5000  2.34
Ta 0.5000 0.7500 0.0000  2.34
Ta 0.0000 0.5000 0.7500  2.34
Na 0.5000 0.0000 0.2500  0.05
Ta 0.0000 0.5000 0.2500  2.34
Na 0.5000 0.0000 0.7500  0.05

---

--- three ---
# NaTa

An optimized crystal structure of NaTa (PBE, Alexandria via LeMat-Bulk).

## Properties
Fermi-level density of states = 0.676 states/eV/atom
space-group type = Cmmm (65)
M_tot = 0.0 μB per formula unit

abc: 6.0413 16.5270 2.8582
angles: 90.00 90.00 90.00
Positions (direct):
Ta 0.0000 0.3625 0.0000
Ta 0.5000 0.0000 0.5000
Na 0.5000 0.5000 0.0000
Na 0.5000 0.3198 0.5000
Ta 0.0000 0.6375 0.0000
Na 0.0000 0.0000 0.0000
Na 0.0000 0.8198 0.5000
Na 0.5000 0.6802 0.5000
Ta 0.5000 0.1375 0.0000
Ta 0.0000 0.5000 0.5000
Ta 0.5000 0.8625 0.0000
Na 0.0000 0.1802 0.5000

---

The most stable of them is three.